TaMnB2Pd: optimized geometry, PBE-GGA.

abc: 4.246 4.607 4.246
angles: 90.00 90.00 90.00
Last column: magnetic moment on the atom in μB.
Atoms (fractional coordinates):
B: 0.500 0.000 0.000  0.00
Pd: 0.500 0.500 0.500  -0.04
Mn: 0.000 0.500 0.000  3.00
Ta: 0.000 0.000 0.000  -0.33
B: 0.000 0.000 0.500  -0.04

## Properties
- Symmetry: P4/mmm, No. 123
- Formation energy: 7.7 eV/f.u.
- Total moment: 2.7 μB/f.u.
- DOS at the Fermi energy: 0.485 states/eV per atom
- Final energy: -6.3837 eV/atom